Computed, not measured: crystalline TbAg at its relaxed geometry at the PBE level of DFT.

Values from the calculation:
Volume in Å³ per cell: 54
DFT formation energy in eV/atom: -0.07

Unit cell a=4.2382 b=4.2382 c=4.2382 alpha=60.00 beta=60.00 gamma=60.00
Element x y z (fractional)
Ag (0.0000, 0.0000, 0.0000)
Tb (0.5000, 0.5000, 0.5000)

=====

Computed, not measured: crystalline Tb2AgTe3 at its relaxed geometry at the PBE level of DFT.

Values from the calculation:
Volume in Å³ per cell: 679

Unit cell a=11.0595 b=4.1848 c=14.6635 alpha=90.00 beta=90.00 gamma=90.00
Element x y z (fractional)
Tb (0.2303, 0.2500, 0.5263)
Tb (0.7697, 0.7500, 0.4737)
Tb (0.7303, 0.2500, 0.9737)
Tb (0.5146, 0.7500, 0.2524)
Tb (0.2697, 0.7500, 0.0263)
Tb (0.9854, 0.2500, 0.7524)
Tb (0.0146, 0.7500, 0.2476)
Tb (0.4854, 0.2500, 0.7476)
Te (0.9576, 0.2500, 0.3992)
Te (0.7628, 0.7500, 0.1397)
Te (0.4576, 0.2500, 0.1008)
Te (0.0774, 0.2500, 0.0976)
Te (0.4226, 0.7500, 0.5976)
Te (0.9226, 0.7500, 0.9024)
Te (0.0424, 0.7500, 0.6008)
Te (0.2628, 0.7500, 0.3603)
Te (0.7372, 0.2500, 0.6397)
Te (0.2372, 0.2500, 0.8603)
Te (0.5424, 0.7500, 0.8992)
Te (0.5774, 0.2500, 0.4024)
Ag (0.2624, 0.2500, 0.2263)
Ag (0.7376, 0.7500, 0.7737)
Ag (0.7624, 0.2500, 0.2737)
Ag (0.2376, 0.7500, 0.7263)

=====

Computed, not measured: crystalline TbAg3Te3 at its relaxed geometry at the PBE level of DFT.

Values from the calculation:
Volume in Å³ per cell: 390

Unit cell a=8.6019 b=8.6019 c=8.6019 alpha=54.30 beta=54.30 gamma=54.30
Element x y z (fractional)
Ag (0.2272, 0.5123, 0.8753)
Ag (0.1247, 0.7728, 0.4877)
Ag (0.5123, 0.8753, 0.2272)
Ag (0.4877, 0.1247, 0.7728)
Ag (0.7728, 0.4877, 0.1247)
Ag (0.8753, 0.2272, 0.5123)
Te (0.6054, 0.2474, 0.9263)
Te (0.2474, 0.9263, 0.6054)
Te (0.9263, 0.6054, 0.2474)
Te (0.7526, 0.0737, 0.3946)
Te (0.3946, 0.7526, 0.0737)
Te (0.0737, 0.3946, 0.7526)
Tb (0.6675, 0.6675, 0.6675)
Tb (0.3325, 0.3325, 0.3325)

=====

| no. | E_tot (eV for the cell shown) |
| --- | --- |
| 1 | -7.600 |
| 2 | -110.546 |
| 3 | -52.922 |